Material: Pr3Er4In4
Method: DFT, PBE-GGA
State: optimized geometry

a = 9.7849 Å, b = 9.7849 Å, c = 9.7849 Å
α = 148.80°, β = 136.26°, γ = 54.70°
Closest atoms and distances in Å follow each position.
Fractional coordinates of all 11 atoms:
1 Pr 0.0000 0.0000 0.0000  6 In 3.21-3.40
2 Pr 0.3920 0.8920 0.5000  4 Er 3.51, 6 In 3.56-3.88, 1 Pr 3.76
3 Pr 0.6080 0.1080 0.5000  4 Er 3.51, 6 In 3.56-3.88, 1 Pr 3.76
4 Er 0.0499 0.3223 0.7276  4 In 3.11-3.13, 1 Er 3.32
5 Er 0.4054 0.6777 0.7276  4 In 3.11-3.13, 1 Er 3.32
6 Er 0.5946 0.3223 0.2724  4 In 3.11-3.13, 1 Er 3.32
7 Er 0.9501 0.6777 0.2724  4 In 3.11-3.13, 1 Er 3.32
8 In 0.1846 0.1846 0.0000  6 Er 3.11, 1 Pr 3.21
9 In 0.2952 0.5000 0.7952  1 In 2.99, 2 Er 3.13
10 In 0.7048 0.5000 0.2048  1 In 2.99, 2 Er 3.13
11 In 0.8154 0.8154 0.0000  6 Er 3.11, 1 Pr 3.21

Output
Space-group type: Immm
E_form in eV per atom: -0.284